one | The following is a DFT calculation (PBE) of crystalline SnHRh3 at its relaxed geometry.

The structure in CIF format:
```
data_SnHRh3
_space_group_name_H-M_alt 'P 1'
_space_group_IT_number 1
_cell_length_a 3.848
_cell_length_b 3.848
_cell_length_c 6.197
_cell_angle_alpha 90.00
_cell_angle_beta 90.00
_cell_angle_gamma 90.00
loop_
_space_group_symop_operation_xyz
'x,y,z'
loop_
_atom_site_label
_atom_site_type_symbol
_atom_site_fract_x
_atom_site_fract_y
_atom_site_fract_z
Sn1 Sn 0.000 0.000 0.000
H1 H 0.500 0.500 0.310
Rh1 Rh 0.000 0.000 0.588
Rh2 Rh 0.000 0.500 0.311
Rh3 Rh 0.500 0.000 0.311
```

Values from the calculation:
The calculation puts the total magnetization at 0.00 μB/cell. For the density of states at the Fermi level, the calculation gives 6.5 states/eV per cell.


two | The following is a DFT calculation (PBE) of crystalline SnHRh3 at its relaxed geometry.

The structure in CIF format:
```
data_SnHRh3
_space_group_name_H-M_alt 'P 1'
_space_group_IT_number 1
_cell_length_a 6.449
_cell_length_b 6.449
_cell_length_c 3.945
_cell_angle_alpha 90.00
_cell_angle_beta 90.00
_cell_angle_gamma 128.05
loop_
_space_group_symop_operation_xyz
'x,y,z'
loop_
_atom_site_label
_atom_site_type_symbol
_atom_site_fract_x
_atom_site_fract_y
_atom_site_fract_z
Sn1 Sn 0.135 0.865 0.000
Sn2 Sn 0.865 0.135 0.000
H1 H 0.379 0.621 0.500
H2 H 0.621 0.379 0.500
Rh1 Rh 0.000 0.500 0.500
Rh2 Rh 0.249 0.249 0.500
Rh3 Rh 0.376 0.624 0.000
Rh4 Rh 0.500 0.000 0.500
Rh5 Rh 0.624 0.376 0.000
Rh6 Rh 0.751 0.751 0.500
```

Values from the calculation:
The calculation puts the total magnetization at 0.00 μB/cell. For the density of states at the Fermi level, the calculation gives 8.3 states/eV per cell.


Of them, the most stable is two and the least stable is one.


one | The following is a DFT calculation (PBE) of crystalline SnHRh3 at its relaxed geometry.

The structure in CIF format:
```
data_SnHRh3
_space_group_name_H-M_alt 'P 1'
_space_group_IT_number 1
_cell_length_a 7.308
_cell_length_b 7.308
_cell_length_c 5.011
_cell_angle_alpha 91.86
_cell_angle_beta 91.86
_cell_angle_gamma 99.37
loop_
_space_group_symop_operation_xyz
'x,y,z'
loop_
_atom_site_label
_atom_site_type_symbol
_atom_site_fract_x
_atom_site_fract_y
_atom_site_fract_z
Sn1 Sn 0.070 0.223 0.069
Sn2 Sn 0.223 0.070 0.569
Sn3 Sn 0.777 0.930 0.431
Sn4 Sn 0.930 0.777 0.931
H1 H 0.308 0.692 0.250
H2 H 0.452 0.548 0.750
H3 H 0.548 0.452 0.250
H4 H 0.692 0.308 0.750
Rh1 Rh 0.053 0.705 0.430
Rh2 Rh 0.190 0.566 0.906
Rh3 Rh 0.295 0.947 0.070
Rh4 Rh 0.308 0.445 0.423
Rh5 Rh 0.434 0.810 0.594
Rh6 Rh 0.445 0.308 0.923
Rh7 Rh 0.555 0.692 0.077
Rh8 Rh 0.566 0.190 0.406
Rh9 Rh 0.692 0.555 0.577
Rh10 Rh 0.705 0.053 0.930
Rh11 Rh 0.810 0.434 0.094
Rh12 Rh 0.947 0.295 0.570
```

Values from the calculation:
The calculation puts the total magnetization at 0.00 μB/cell. For the density of states at the Fermi level, the calculation gives 25.7 states/eV per cell.


two | The following is a DFT calculation (PBE) of crystalline SnHRh3 at its relaxed geometry.

The structure in CIF format:
```
data_SnHRh3
_space_group_name_H-M_alt 'P 1'
_space_group_IT_number 1
_cell_length_a 4.005
_cell_length_b 4.005
_cell_length_c 4.005
_cell_angle_alpha 90.00
_cell_angle_beta 90.00
_cell_angle_gamma 90.00
loop_
_space_group_symop_operation_xyz
'x,y,z'
loop_
_atom_site_label
_atom_site_type_symbol
_atom_site_fract_x
_atom_site_fract_y
_atom_site_fract_z
Sn1 Sn 0.000 0.000 0.000
H1 H 0.500 0.500 0.500
Rh1 Rh 0.000 0.500 0.500
Rh2 Rh 0.500 0.000 0.500
Rh3 Rh 0.500 0.500 0.000
```

Values from the calculation:
The calculation puts the total magnetization at 0.00 μB/cell. For the density of states at the Fermi level, the calculation gives 2.5 states/eV per cell.


three | The following is a DFT calculation (PBE) of crystalline SnHRh3 at its relaxed geometry.

The structure in CIF format:
```
data_SnHRh3
_space_group_name_H-M_alt 'P 1'
_space_group_IT_number 1
_cell_length_a 4.817
_cell_length_b 4.817
_cell_length_c 7.098
_cell_angle_alpha 116.01
_cell_angle_beta 116.01
_cell_angle_gamma 72.25
loop_
_space_group_symop_operation_xyz
'x,y,z'
loop_
_atom_site_label
_atom_site_type_symbol
_atom_site_fract_x
_atom_site_fract_y
_atom_site_fract_z
Sn1 Sn 0.000 0.000 0.000
Sn2 Sn 0.715 0.715 0.462
H1 H 0.238 0.238 0.726
H2 H 0.644 0.644 0.903
Rh1 Rh 0.103 0.610 0.233
Rh2 Rh 0.227 0.227 0.469
Rh3 Rh 0.344 0.840 0.719
Rh4 Rh 0.476 0.476 0.989
Rh5 Rh 0.610 0.103 0.233
Rh6 Rh 0.840 0.344 0.719
```

Values from the calculation:
The calculation puts the total magnetization at 0.00 μB/cell. For the density of states at the Fermi level, the calculation gives 9.1 states/eV per cell.


four | The following is a DFT calculation (PBE) of crystalline SnHRh3 at its relaxed geometry.

The structure in CIF format:
```
data_SnHRh3
_space_group_name_H-M_alt 'P 1'
_space_group_IT_number 1
_cell_length_a 3.068
_cell_length_b 3.068
_cell_length_c 16.832
_cell_angle_alpha 90.00
_cell_angle_beta 90.00
_cell_angle_gamma 120.00
loop_
_space_group_symop_operation_xyz
'x,y,z'
loop_
_atom_site_label
_atom_site_type_symbol
_atom_site_fract_x
_atom_site_fract_y
_atom_site_fract_z
Sn1 Sn 0.000 0.000 0.000
Sn2 Sn 0.000 0.000 0.500
H1 H 0.333 0.667 0.250
H2 H 0.667 0.333 0.750
Rh1 Rh 0.000 0.000 0.250
Rh2 Rh 0.000 0.000 0.750
Rh3 Rh 0.333 0.667 0.120
Rh4 Rh 0.333 0.667 0.380
Rh5 Rh 0.667 0.333 0.620
Rh6 Rh 0.667 0.333 0.880
```

Values from the calculation:
The calculation puts the total magnetization at 1.53 μB/cell. For the density of states at the Fermi level, the calculation gives 11.8 states/eV per cell.


Of them, the most stable is two and the least stable is four.


one | The following is a DFT calculation (PBE) of crystalline SnHRh3 at its relaxed geometry.

The structure in CIF format:
```
data_SnHRh3
_space_group_name_H-M_alt 'P 1'
_space_group_IT_number 1
_cell_length_a 6.956
_cell_length_b 5.480
_cell_length_c 9.450
_cell_angle_alpha 90.00
_cell_angle_beta 131.47
_cell_angle_gamma 90.00
loop_
_space_group_symop_operation_xyz
'x,y,z'
loop_
_atom_site_label
_atom_site_type_symbol
_atom_site_fract_x
_atom_site_fract_y
_atom_site_fract_z
Sn1 Sn 0.225 0.168 0.344
Sn2 Sn 0.225 0.332 0.844
Sn3 Sn 0.775 0.668 0.156
Sn4 Sn 0.775 0.832 0.656
H1 H 0.322 0.709 0.242
H2 H 0.322 0.791 0.742
H3 H 0.678 0.209 0.258
H4 H 0.678 0.291 0.758
Rh1 Rh 0.003 0.244 0.982
Rh2 Rh 0.003 0.256 0.482
Rh3 Rh 0.292 0.668 0.418
Rh4 Rh 0.292 0.832 0.918
Rh5 Rh 0.484 0.022 0.721
Rh6 Rh 0.484 0.478 0.221
Rh7 Rh 0.516 0.522 0.779
Rh8 Rh 0.516 0.978 0.279
Rh9 Rh 0.708 0.168 0.082
Rh10 Rh 0.708 0.332 0.582
Rh11 Rh 0.997 0.744 0.518
Rh12 Rh 0.997 0.756 0.018
```

Values from the calculation:
The calculation puts the total magnetization at 0.00 μB/cell. For the density of states at the Fermi level, the calculation gives 23.8 states/eV per cell.


two | The following is a DFT calculation (PBE) of crystalline SnHRh3 at its relaxed geometry.

The structure in CIF format:
```
data_SnHRh3
_space_group_name_H-M_alt 'P 1'
_space_group_IT_number 1
_cell_length_a 5.284
_cell_length_b 5.284
_cell_length_c 5.504
_cell_angle_alpha 90.00
_cell_angle_beta 90.00
_cell_angle_gamma 116.48
loop_
_space_group_symop_operation_xyz
'x,y,z'
loop_
_atom_site_label
_atom_site_type_symbol
_atom_site_fract_x
_atom_site_fract_y
_atom_site_fract_z
Sn1 Sn 0.054 0.946 0.750
Sn2 Sn 0.946 0.054 0.250
H1 H 0.352 0.648 0.250
H2 H 0.648 0.352 0.750
Rh1 Rh 0.032 0.450 0.750
Rh2 Rh 0.450 0.032 0.250
Rh3 Rh 0.500 0.500 0.000
Rh4 Rh 0.500 0.500 0.500
Rh5 Rh 0.550 0.968 0.750
Rh6 Rh 0.968 0.550 0.250
```

Values from the calculation:
The calculation puts the total magnetization at 0.00 μB/cell. For the density of states at the Fermi level, the calculation gives 6.6 states/eV per cell.


Of them, the most stable is one and the least stable is two.